Compound: MnNbGeHI
Source: the Alexandria database
Functional: PBE
Structure: optimized geometry

Calculated values
N(E_F) = 0.3510 states/eV/atom
Space-group type = No. 6
E above lowest polymorph = 17.8 meV per atom
Crystal system = monoclinic
Energy = -28.7 eV per cell

Lattice parameters (Å, degrees): 3.7620 3.7257 7.7344 90.00 104.12 90.00
With the nearest neighbours (Å) after each atom.
Fractional coordinates of all 5 atoms:
Nb  0.5883  0.0000  0.0762  1 H 1.91
Mn  0.9513  0.0000  0.8035  2 H 1.89
H  0.4603  0.0000  0.8215  2 Mn 1.89, 1 Nb 1.91
Ge  0.0778  0.5000  0.0551  2 Mn 2.65, 4 Nb 2.65
I  0.7772  0.0000  0.4520  1 Mn 2.64, 1 Nb 2.82



Compound: RbZrMn2
Source: the Alexandria database
Functional: PBE
Structure: optimized geometry

Calculated values
N(E_F) = 1.2943 states/eV/atom
Space-group type = No. 141
E above lowest polymorph = 71.2 meV per atom
Crystal system = tetragonal
Formation enthalpy at 0 K = 1.25 eV per atom
Energy = -45.7 eV per cell

Lattice parameters (Å, degrees): 5.4548 5.4548 9.5957 73.49 73.49 90.00
With the nearest neighbours (Å) after each atom.
Fractional coordinates of all 8 atoms:
Rb  0.2500  0.7500  0.5000  8 Mn 3.76, 4 Zr 3.86
Rb  0.5000  0.5000  0.0000  8 Mn 3.76, 4 Zr 3.86
Mn  0.3750  0.1250  0.7500  2 Zr 2.59, 2 Mn 2.73
Mn  0.8750  0.1250  0.2500  2 Zr 2.59, 2 Mn 2.73
Zr  0.0000  0.0000  0.0000  4 Mn 2.59
Mn  0.8750  0.6250  0.2500  2 Zr 2.59, 2 Mn 2.73
Zr  0.7500  0.2500  0.5000  4 Mn 2.59
Mn  0.8750  0.1250  0.7500  2 Zr 2.59, 2 Mn 2.73



Compound: Cu2W
Source: the Alexandria database
Functional: PBE
Structure: optimized geometry

Calculated values
N(E_F) = 0.5872 states/eV/atom
Space-group type = No. 12
Crystal system = monoclinic
Formation enthalpy at 0 K = 0.25 eV per atom
Energy = -40.8 eV per cell

Lattice parameters (Å, degrees): 4.6620 4.6620 7.5694 66.36 66.36 32.94
With the nearest neighbours (Å) after each atom.
Fractional coordinates of all 6 atoms:
Cu  0.9936  0.9936  0.2351  7 Cu 2.55-2.76, 5 W 2.70-2.81
W  0.3384  0.3384  0.5936  5 W 2.63-2.85, 7 Cu 2.70-2.81
W  0.6616  0.6616  0.4064  5 W 2.63-2.85, 7 Cu 2.70-2.81
Cu  0.6666  0.6666  0.9285  10 Cu 2.55-2.76, 2 W 2.70
Cu  0.0064  0.0064  0.7649  7 Cu 2.55-2.76, 5 W 2.70-2.81
Cu  0.3334  0.3334  0.0715  10 Cu 2.55-2.76, 2 W 2.70



Compound: SrNiPt2
Source: the Alexandria database
Functional: PBE
Structure: optimized geometry

Calculated values
N(E_F) = 0.9822 states/eV/atom
Space-group type = No. 65
Crystal system = orthorhombic
Formation enthalpy at 0 K = -0.04 eV per atom
Energy = -19.7 eV per cell

Lattice parameters (Å, degrees): 5.0370 5.0370 2.9938 90.03 90.03 109.19
With the nearest neighbours (Å) after each atom.
Fractional coordinates of all 4 atoms:
Pt  0.5000  0.5000  0.0000  4 Pt 2.92-2.99, 4 Sr 2.93, 4 Ni 2.93
Pt  0.0000  0.0000  0.0000  4 Pt 2.92-2.99, 4 Ni 2.93, 4 Sr 2.93
Sr  0.5000  0.0000  0.5000  2 Ni 2.92, 8 Pt 2.93, 2 Sr 2.99
Ni  0.0000  0.5000  0.5000  2 Sr 2.92, 8 Pt 2.93, 2 Ni 2.99



Compound: Y3Ni2Sn3
Source: the Alexandria database
Functional: PBE
Structure: optimized geometry

Calculated values
N(E_F) = 0.4180 states/eV/atom
Space-group type = No. 63
Crystal system = orthorhombic
Formation enthalpy at 0 K = -0.70 eV per atom
Energy = -97.2 eV per cell

Lattice parameters (Å, degrees): 4.4439 5.8444 14.9366 90.00 90.00 112.35
With the nearest neighbours (Å) after each atom.
Fractional coordinates of all 16 atoms:
Ni  0.2056  0.4111  0.3941  4 Sn 2.57-2.76
Y  0.6428  0.2856  0.2500  5 Sn 3.13-3.20, 4 Ni 3.17
Sn  0.6328  0.2656  0.0373  3 Ni 2.57-2.76
Ni  0.2056  0.4111  0.1059  4 Sn 2.57-2.76
Sn  0.6530  0.3061  0.7500  2 Ni 2.64
Y  0.9218  0.8435  0.3894  3 Ni 3.07-3.23, 7 Sn 3.15-3.37
Y  0.0782  0.1565  0.6106  3 Ni 3.07-3.23, 7 Sn 3.15-3.37
Y  0.3572  0.7144  0.7500  5 Sn 3.13-3.20, 4 Ni 3.17
Sn  0.6328  0.2656  0.4627  3 Ni 2.57-2.76
Y  0.9218  0.8435  0.1106  3 Ni 3.07-3.23, 7 Sn 3.15-3.37
Sn  0.3672  0.7344  0.5373  3 Ni 2.57-2.76
Sn  0.3672  0.7344  0.9627  3 Ni 2.57-2.76
Sn  0.3470  0.6939  0.2500  2 Ni 2.64
Y  0.0782  0.1565  0.8894  3 Ni 3.07-3.23, 7 Sn 3.15-3.37
Ni  0.7944  0.5889  0.6059  4 Sn 2.57-2.76
Ni  0.7944  0.5889  0.8941  4 Sn 2.57-2.76



Compound: TbPmSn2
Source: the Alexandria database
Functional: PBE
Structure: optimized geometry

Calculated values
N(E_F) = 0.9428 states/eV/atom
Space-group type = No. 123
Crystal system = tetragonal
Formation enthalpy at 0 K = -0.66 eV per atom
Energy = -20.0 eV per cell

Lattice parameters (Å, degrees): 3.5013 3.5013 8.9440 90.00 90.00 90.00
With the nearest neighbours (Å) after each atom.
Fractional coordinates of all 4 atoms:
Sn  0.0000  0.0000  0.2551  4 Tb 3.31, 4 Pm 3.37, 4 Sn 3.50
Sn  0.0000  0.0000  0.7449  4 Tb 3.31, 4 Pm 3.37, 4 Sn 3.50
Tb  0.5000  0.5000  0.5000  8 Sn 3.31, 4 Tb 3.50
Pm  0.5000  0.5000  0.0000  8 Sn 3.37, 4 Pm 3.50



Compound: Zn2AgPb2Au5
Source: the Alexandria database
Functional: PBE
Structure: optimized geometry

Calculated values
N(E_F) = 0.2643 states/eV/atom
Space-group type = No. 127
Crystal system = tetragonal
Formation enthalpy at 0 K = -0.06 eV per atom
Energy = -59.7 eV per cell

Lattice parameters (Å, degrees): 3.6769 10.5129 10.5129 90.00 90.00 90.00
With the nearest neighbours (Å) after each atom.
Fractional coordinates of all 20 atoms:
Au  0.5000  0.7017  0.4525  2 Zn 2.70, 2 Ag 2.85
Au  0.5000  0.4525  0.2983  2 Zn 2.70, 2 Ag 2.85
Au  0.5000  0.0475  0.7983  2 Zn 2.70, 2 Ag 2.85
Ag  0.0000  0.5000  0.5000  8 Au 2.85
Au  0.5000  0.0000  0.5000  4 Zn 2.67
Pb  0.0000  0.8255  0.6745  3 Zn 2.91-3.23, 6 Au 3.18-3.24
Zn  0.0000  0.3701  0.1299  6 Au 2.67-2.70, 1 Pb 2.91
Pb  0.0000  0.1745  0.3255  3 Zn 2.91-3.23, 6 Au 3.18-3.24
Zn  0.0000  0.8701  0.3701  6 Au 2.67-2.70, 1 Pb 2.91
Au  0.5000  0.9525  0.2017  2 Zn 2.70, 2 Ag 2.85
Au  0.5000  0.5000  0.0000  4 Zn 2.67
Au  0.5000  0.2017  0.0475  2 Zn 2.70, 2 Ag 2.85
Au  0.5000  0.2983  0.5475  2 Zn 2.70, 2 Ag 2.85
Ag  0.0000  0.0000  0.0000  8 Au 2.85
Pb  0.0000  0.6745  0.1745  3 Zn 2.91-3.23, 6 Au 3.18-3.24
Zn  0.0000  0.1299  0.6299  6 Au 2.67-2.70, 1 Pb 2.91
Pb  0.0000  0.3255  0.8255  3 Zn 2.91-3.23, 6 Au 3.18-3.24
Au  0.5000  0.5475  0.7017  2 Zn 2.70, 2 Ag 2.85
Zn  0.0000  0.6299  0.8701  6 Au 2.67-2.70, 1 Pb 2.91
Au  0.5000  0.7983  0.9525  2 Zn 2.70, 2 Ag 2.85



Compound: Cs2SnHgH6
Source: the Alexandria database
Functional: PBE
Structure: optimized geometry

Calculated values
Space-group type = No. 139
Crystal system = tetragonal
Energy = -26.4 eV per cell

Lattice parameters (Å, degrees): 6.4717 6.4718 6.4677 60.00 60.00 90.01
With the nearest neighbours (Å) after each atom.
Fractional coordinates of all 10 atoms:
H  0.2068  0.2069  0.0001  1 Sn 1.89
H  0.7932  0.7931  0.9999  1 Sn 1.89
Sn  0.0000  0.0000  0.0000  6 H 1.89
Cs  0.7501  0.2499  0.5000  12 H 3.26
Cs  0.2499  0.7501  0.5000  12 H 3.26
H  0.7931  0.7931  0.4140  1 Sn 1.89
H  0.2069  0.7932  0.0000  1 Sn 1.89
H  0.7931  0.2068  0.0000  1 Sn 1.89
Hg  0.5000  0.5000  0.0000  6 H 2.68
H  0.2069  0.2069  0.5860  1 Sn 1.89



Compound: PaZn17Cd
Source: the Alexandria database
Functional: PBE
Structure: optimized geometry

Calculated values
N(E_F) = 0.4912 states/eV/atom
Space-group type = No. 160
Crystal system = trigonal
Formation enthalpy at 0 K = -0.03 eV per atom
Energy = -32.7 eV per cell

Lattice parameters (Å, degrees): 6.8287 6.8287 6.8287 82.20 82.20 82.20
With the nearest neighbours (Å) after each atom.
Fractional coordinates of all 19 atoms:
Zn  0.0036  0.6863  0.2970  8 Zn 2.59-2.85
Zn  0.2970  0.6863  0.0036  8 Zn 2.59-2.85
Zn  0.6525  0.6525  0.1542  9 Zn 2.57-2.81, 1 Cd 2.86
Zn  0.6863  0.0036  0.2970  8 Zn 2.59-2.85
Zn  0.2970  0.0036  0.6863  8 Zn 2.59-2.85
Zn  0.8990  0.8990  0.8990  7 Zn 2.66-2.81
Zn  0.6525  0.1542  0.6525  9 Zn 2.57-2.81, 1 Cd 2.86
Zn  0.0036  0.2970  0.6863  8 Zn 2.59-2.85
Zn  0.6863  0.2970  0.0036  8 Zn 2.59-2.85
Zn  0.9860  0.9860  0.4979  10 Zn 2.57-2.76
Pa  0.6608  0.6608  0.6608  19 Zn 3.18-3.48, 1 Cd 3.54
Zn  0.1542  0.6525  0.6525  9 Zn 2.57-2.81, 1 Cd 2.86
Zn  0.8474  0.3481  0.3481  9 Zn 2.61-2.82
Zn  0.9860  0.4979  0.9860  10 Zn 2.57-2.76
Zn  0.3481  0.3481  0.8474  9 Zn 2.61-2.82
Cd  0.3951  0.3951  0.3951  6 Zn 2.86-3.04
Zn  0.3481  0.8474  0.3481  9 Zn 2.61-2.82
Zn  0.4979  0.9860  0.9860  10 Zn 2.57-2.76
Zn  0.0987  0.0987  0.0987  7 Zn 2.66-2.82



Compound: Zn5H3I12
Source: the Alexandria database
Functional: PBE
Structure: optimized geometry

Calculated values
N(E_F) = 1.2750 states/eV/atom
Space-group type = No. 230
Crystal system = cubic
Energy = -136.1 eV per cell

Lattice parameters (Å, degrees): 15.2650 15.2650 15.2650 109.47 109.47 109.47
With the nearest neighbours (Å) after each atom.
Fractional coordinates of all 80 atoms:
H  0.3750  0.6250  0.2500  8 I 3.41-3.50
I  0.2083  0.6812  0.0948  2 Zn 2.65-2.87
I  0.9136  0.0948  0.8864  2 Zn 2.65-2.87
I  0.8864  0.2917  0.4729  2 Zn 2.65-2.87
Zn  0.2500  0.3750  0.6250  4 I 2.65
H  0.2500  0.6250  0.8750  8 I 3.41-3.50
I  0.9052  0.8188  0.7917  2 Zn 2.65-2.87
I  0.1136  0.4052  0.0864  2 Zn 2.65-2.87
H  0.2500  0.1250  0.3750  8 I 3.41-3.50
I  0.2083  0.5271  0.6136  2 Zn 2.65-2.87
I  0.5864  0.6136  0.4052  2 Zn 2.65-2.87
Zn  0.5000  0.0000  0.0000  6 I 2.87
I  0.2917  0.4052  0.8188  2 Zn 2.65-2.87
H  0.8750  0.7500  0.1250  8 I 3.41-3.50
I  0.5271  0.2083  0.1136  2 Zn 2.65-2.87
H  0.7500  0.8750  0.6250  8 I 3.41-3.50
I  0.7083  0.1136  0.0271  2 Zn 2.65-2.87
I  0.0864  0.1812  0.4729  2 Zn 2.65-2.87
I  0.0948  0.1812  0.2083  2 Zn 2.65-2.87
Zn  0.0000  0.5000  0.5000  6 I 2.87
Zn  0.5000  0.5000  0.5000  6 I 2.87
I  0.7917  0.3188  0.9052  2 Zn 2.65-2.87
I  0.4052  0.2917  0.3188  2 Zn 2.65-2.87
I  0.2917  0.8864  0.9729  2 Zn 2.65-2.87
Zn  0.1250  0.3750  0.2500  4 I 2.65
I  0.7917  0.4729  0.3864  2 Zn 2.65-2.87
Zn  0.0000  0.0000  0.0000  6 I 2.87
Zn  0.0000  0.0000  0.5000  6 I 2.87
Zn  0.8750  0.6250  0.7500  4 I 2.65
H  0.6250  0.3750  0.7500  8 I 3.41-3.50
I  0.6812  0.4729  0.5864  2 Zn 2.65-2.87
I  0.6136  0.0271  0.2083  2 Zn 2.65-2.87
I  0.0864  0.9052  0.1136  2 Zn 2.65-2.87
I  0.5948  0.7083  0.6812  2 Zn 2.65-2.87
Zn  0.0000  0.5000  0.0000  6 I 2.87
Zn  0.7500  0.1250  0.8750  4 I 2.65
I  0.3864  0.9729  0.7917  2 Zn 2.65-2.87
I  0.6812  0.2083  0.5948  2 Zn 2.65-2.87
I  0.5948  0.8864  0.4136  2 Zn 2.65-2.87
Zn  0.7500  0.6250  0.3750  4 I 2.65
I  0.4729  0.7917  0.8864  2 Zn 2.65-2.87
I  0.4136  0.3864  0.5948  2 Zn 2.65-2.87
I  0.9136  0.8188  0.5271  2 Zn 2.65-2.87
Zn  0.1250  0.7500  0.3750  4 I 2.65
Zn  0.8750  0.2500  0.6250  4 I 2.65
I  0.4136  0.0271  0.3188  2 Zn 2.65-2.87
I  0.5271  0.3188  0.9136  2 Zn 2.65-2.87
I  0.8188  0.9136  0.0271  2 Zn 2.65-2.87
I  0.8188  0.9052  0.2917  2 Zn 2.65-2.87
I  0.0271  0.4136  0.8188  2 Zn 2.65-2.87
I  0.6136  0.5864  0.9052  2 Zn 2.65-2.87
I  0.3188  0.7917  0.4052  2 Zn 2.65-2.87
H  0.1250  0.8750  0.7500  8 I 3.41-3.50
I  0.4052  0.1136  0.5864  2 Zn 2.65-2.87
Zn  0.2500  0.8750  0.1250  4 I 2.65
I  0.0271  0.6136  0.7083  2 Zn 2.65-2.87
I  0.7083  0.5948  0.1812  2 Zn 2.65-2.87
I  0.9052  0.0864  0.6136  2 Zn 2.65-2.87
Zn  0.3750  0.2500  0.1250  4 I 2.65
I  0.3188  0.5271  0.4136  2 Zn 2.65-2.87
Zn  0.5000  0.0000  0.5000  6 I 2.87
H  0.8750  0.1250  0.2500  8 I 3.41-3.50
I  0.1812  0.0948  0.7083  2 Zn 2.65-2.87
H  0.3750  0.7500  0.6250  8 I 3.41-3.50
I  0.1136  0.7083  0.5271  2 Zn 2.65-2.87
I  0.8864  0.5948  0.9136  2 Zn 2.65-2.87
Zn  0.5000  0.5000  0.0000  6 I 2.87
H  0.1250  0.2500  0.8750  8 I 3.41-3.50
H  0.7500  0.3750  0.1250  8 I 3.41-3.50
I  0.9729  0.3864  0.2917  2 Zn 2.65-2.87
I  0.0948  0.9136  0.3864  2 Zn 2.65-2.87
I  0.9729  0.5864  0.1812  2 Zn 2.65-2.87
H  0.6250  0.2500  0.3750  8 I 3.41-3.50
Zn  0.6250  0.7500  0.8750  4 I 2.65
I  0.1812  0.0864  0.9729  2 Zn 2.65-2.87
Zn  0.3750  0.1250  0.7500  4 I 2.65
Zn  0.6250  0.8750  0.2500  4 I 2.65
I  0.3864  0.4136  0.0948  2 Zn 2.65-2.87
I  0.4729  0.6812  0.0864  2 Zn 2.65-2.87
I  0.5864  0.9729  0.6812  2 Zn 2.65-2.87